Record 1
Here is NaVBrO2 after structural relaxation from Alexandria via LeMat-Bulk. Energies are from PBE with a Hubbard U.

Cell and atoms, written as POSCAR:
```
NaVBrO2
1.0
-1.924 3.337 -0.541
-6.838 -4.304 -2.231
2.119 2.367 7.069
Na V Br O
2 2 2 4
Cartesian
-5.116 -2.049 -1.438 Na
-1.527 3.449 5.736 Na
-3.659 -0.704 1.684 V
-2.984 2.104 2.614 V
-5.643 -1.662 2.829 Br
-1.000 3.062 1.469 Br
-4.425 1.141 1.801 O
-2.218 0.259 2.497 O
-3.058 2.333 4.292 O
-3.585 -0.932 0.006 O
```

The calculation puts the total energy at -57.93 eV for the cell shown. As for the symmetry: P2_1/m, No. 11.

=====

Record 2
Here is NaW2Br6O2 after structural relaxation from Alexandria via LeMat-Bulk. Energies are from PBE with a Hubbard U.

Cell and atoms, written as POSCAR:
```
NaW2Br6O2
1.0
-7.655 4.814 1.655
-7.891 4.191 -2.162
-9.929 -5.168 1.459
O Na Br W
2 1 6 2
Cartesian
-15.971 0.091 0.974 O
-9.504 3.745 -0.023 O
-12.737 1.918 0.476 Na
-18.276 5.868 0.174 Br
-10.634 -3.505 1.231 Br
-4.137 0.222 0.220 Br
-7.198 -2.032 0.778 Br
-21.338 3.615 0.732 Br
-14.841 7.342 -0.279 Br
-1.803 -0.751 0.234 W
-23.671 4.587 0.717 W
```

The calculation puts the total energy at -48.25 eV for the cell shown. As for the symmetry: C2/m, No. 12.